[1]
# TlSi2Tc

A crystal of TlSi2Tc relaxed with PBEsol (SCAN, the Alexandria database).

Summary:
ΔE to the lowest computed polymorph: 0.0000 eV/atom
calculated volume: 70 Å³ per cell
raw formation energy: 0.2193 eV/atom
uncorrected energy: -126.57 eV for the cell shown
SG: No. 166

Structure (extended XYZ):
```
4
Lattice="3.1201 0.0000 0.0000 1.5601 2.7021 0.0000 1.5601 0.9007 8.2881" Properties=species:S:1:pos:R:3 pbc="T T T"
Tc 3.1201 1.8014 4.1440
Si 4.6802 2.7021 5.8017
Si 1.5601 0.9007 2.4864
Tl 0.0000 0.0000 0.0000
```


[2]
# Cs2LiCeI6

A crystal of Cs2LiCeI6 relaxed with PBEsol (SCAN, the Alexandria database).

Summary:
calculated volume: 427 Å³ per cell
raw formation energy: -1.6018 eV/atom
uncorrected energy: -359.04 eV for the cell shown
SG: No. 225

Structure (extended XYZ):
```
10
Lattice="-6.7697 -4.3133 -2.6548 -5.1179 -3.7097 5.6149 -7.7615 3.0796 1.3255" Properties=species:S:1:pos:R:3 pbc="T T T"
I -10.8269 -5.1689 2.5399
I -7.5377 -3.0732 3.8298
I -8.8221 0.2256 1.7457
I -12.1114 -1.8701 0.4558
I -8.3402 -3.3665 -0.1883
I -11.3088 -1.5769 4.4739
Li -9.8245 -2.4717 2.1428
Cs -14.7368 -3.7075 3.2142
Cs -4.9123 -1.2358 1.0714
Ce 0.0000 0.0000 0.0000
```


[3]
# Re2MoRh

A crystal of Re2MoRh relaxed with PBEsol (SCAN, the Alexandria database).

Summary:
ΔE to the lowest computed polymorph: 0.1405 eV/atom
calculated volume: 58 Å³ per cell
uncorrected energy: -210.53 eV for the cell shown
SG: No. 123
ΔE_f: 0.08 eV per atom

Structure (extended XYZ):
```
4
Lattice="-2.1674 -0.0072 1.6267 -1.5603 -0.7575 -2.0822 1.3420 -7.5875 1.7546" Properties=species:S:1:pos:R:3 pbc="T T T"
Mo -1.1929 -4.1761 0.6496
Re 0.3270 -1.8488 0.4275
Re 1.0150 -5.7387 1.3271
Rh -1.8639 -0.3823 -0.2277
```


[4]
# NiRhSCl2

A crystal of NiRhSCl2 relaxed with PBEsol (SCAN, the Alexandria database).

Summary:
calculated volume: 99 Å³ per cell
raw formation energy: 0.2875 eV/atom
uncorrected energy: -74.09 eV for the cell shown
SG: No. 123

Structure (extended XYZ):
```
5
Lattice="-2.5226 -3.0245 -2.1089 3.1123 -3.3644 1.1022 -2.3344 -0.8468 4.0067" Properties=species:S:1:pos:R:3 pbc="T T T"
Cl 1.5561 -1.6822 0.5511
Cl -1.1672 -0.4234 2.0034
Rh 0.0000 0.0000 0.0000
Ni -0.8724 -3.6178 1.5000
S -1.2613 -1.5122 -1.0545
```


[5]
# Ta8Hg

A crystal of Ta8Hg relaxed with PBEsol (SCAN, the Alexandria database).

Summary:
calculated volume: 161 Å³ per cell
uncorrected energy: -600.47 eV for the cell shown
SG: No. 139
ΔE_f: 0.04 eV per atom

Structure (extended XYZ):
```
9
Lattice="-3.0259 0.5686 1.4718 -0.7360 -5.3859 4.5241 1.5637 3.9784 5.6342" Properties=species:S:1:pos:R:3 pbc="T T T"
Ta -1.7417 -0.0899 4.3666
Ta -0.9975 3.0042 4.7012
Ta 0.7974 0.8578 5.2642
Ta -0.4647 1.5429 2.4047
Ta 0.0304 -2.2652 4.8940
Ta -1.2482 -1.6475 2.0265
Ta -2.5137 -3.1697 3.9694
Ta -0.4565 -0.7489 7.2635
Hg 0.0000 0.0000 0.0000
```


[6]
# SiNi3H

A crystal of SiNi3H relaxed with PBEsol (SCAN, the Alexandria database).

Summary:
calculated volume: 44 Å³ per cell
uncorrected energy: -63.58 eV for the cell shown
SG: No. 221

Structure (extended XYZ):
```
5
Lattice="-1.8192 -0.9433 -2.8693 1.5584 -3.1625 0.0516 -2.5873 -1.2415 2.0486" Properties=species:S:1:pos:R:3 pbc="T T T"
H 0.0000 0.0000 0.0000
Si -1.4241 -2.6736 -0.3846
Ni -0.9096 -0.4716 -1.4347
Ni -1.2937 -0.6208 1.0243
Ni 0.7792 -1.5812 0.0258
```


- Among the records above, which one has the lowest calculated volume?
  SiNi3H


- The highest calculated volume belongs to which entry?
  Cs2LiCeI6